Entry 1:
# EuTi2C

A geometry-optimized EuTi2C structure (PBE, Alexandria via LeMat-Bulk).

Structure (extended XYZ):
```
4
Lattice="1.5727 0.9080 8.5743 -1.5727 0.9080 8.5743 0.0000 -1.8160 8.5743" Properties=species:S:1:pos:R:3 pbc="T T T"
Eu 0.0000 0.0000 0.0000
Ti 0.0000 0.0000 3.1766
Ti 0.0000 0.0000 22.5462
C 0.0000 0.0000 12.8614
```

Output
total DFT energy (no corrections): -36.0 eV for the cell shown
calculated formation energy: -0.18 eV per atom



Entry 2:
# MnTe2Au

A geometry-optimized MnTe2Au structure (PBE, Alexandria via LeMat-Bulk).

Structure (extended XYZ):
```
4
Lattice="3.4775 0.0000 0.0000 -0.0058 4.8205 0.0000 -1.7291 -1.1715 6.7067" Properties=species:S:1:pos:R:3 pbc="T T T"
Mn 0.0000 0.0000 0.0000
Te 0.0037 3.0526 4.7364
Te 1.7390 0.5964 1.9703
Au 1.7359 2.4103 0.0000
```

Output
total DFT energy (no corrections): -19.0 eV for the cell shown
E_form (uncorrected): -0.055 eV per atom
ΔE to the lowest computed polymorph: 35 meV per atom